First-principles (PBE) data for a geometry-optimized LaRhAu2 structure, as listed in Alexandria via LeMat-Bulk.

## Properties
crystal system = cubic
formation energy from the elements = -0.429 eV/atom
space-group type = No. 216
Fermi-level density of states = 3.42 states/eV per cell
total energy = -20.55 eV for the cell shown

Cell: 4.902 4.902 4.902 Å, 60.00 60.00 60.00°
Sites, in units of the cell vectors:
La 0.500 0.500 0.500
Rh 0.250 0.250 0.250
Au 0.000 0.000 0.000
Au 0.750 0.750 0.750

First-principles (PBE) data for a geometry-optimized LaRhAu2 structure, as listed in Alexandria via LeMat-Bulk.

## Properties
crystal system = tetragonal
formation energy from the elements = -0.596 eV/atom
space-group type = No. 139
Fermi-level density of states = 0.80 states/eV per cell
total energy = -21.22 eV for the cell shown

Cell: 5.641 5.641 5.641 Å, 137.59 137.51 61.59°
Sites, in units of the cell vectors:
Rh 0.250 0.750 0.500
Au 0.000 0.000 0.000
Au 0.500 0.500 0.000
La 0.750 0.250 0.500